Compound: CeMg2In2
Source: Alexandria
Functional: GGA-PBE
Structure: relaxed

Cell: 4.8805 4.8805 18.8841 Å, 90.00 90.00 120.00°
Space group R-3m (No. 166, hexagonal axes)
Inequivalent atoms, fractional coordinates:
Ce (0.0000, 0.0000, 0.0000)
Mg (0.0000, 0.0000, 0.2055)
In (0.0000, 0.0000, 0.4156)

Values from the calculation:
The calculation puts the polymorph energy (0 for the lowest one) at 0.18 eV per formula unit. Its energy of formation from the pure elements is -0.19 eV per atom. The calculation puts the density of states at the Fermi level at 25.00 states/eV per cell. Its total magnetic moment is 0.8 μB per formula unit. The density is 5.3 Mg/m³.